The following is a PBE calculation of crystalline ZrNpPaIr at its relaxed geometry, from Alexandria.

Cell: 6.884 6.884 6.884 Å, 90.00 90.00 90.00°
Space group F-43m (No. 216)
Asymmetric unit:
Zr  0.000  0.000  0.000
Np  0.250  0.250  0.250
Pa  0.000  0.000  0.500
Ir  0.250  0.250  0.750

Calculated values
Calculated formation energy in eV/atom: -0.15
D(E_F) in states/eV per cell: 39.44